Sc2OsC2 | PBE-GGA | relaxed

Cell: 2.9800 2.9800 7.7118 Å, 78.86 78.86 90.00°
Fractional positions:
1 Sc 0.3697 0.3697 0.2606
2 Sc 0.6303 0.6303 0.7394
3 C 0.7500 0.2500 0.5000
4 C 0.2500 0.7500 0.5000
5 Os 0.0000 0.0000 0.0000

- E_form: 692.9 meV per atom
- Space-group type: I4/mmm
- DFT total energy: -38.88 eV/cell
- Density of states at the Fermi level: 0.929 states/eV per atom